# 1
Density functional theory data (PBE) for CaCo2Rh after structural relaxation.

Cell: 4.7054 4.7054 5.0521 Å, 72.96 72.96 38.54°
Last column: nearest neighbours and their distance in Å.
Fractional coordinates of all 4 atoms:
Co 0.9632 0.9632 0.0893  2 Co 2.32, 2 Rh 2.50
Co 0.2604 0.2604 0.2349  2 Co 2.32, 2 Rh 2.52
Ca 0.7476 0.7476 0.7493  3 Rh 2.90-2.96, 7 Co 2.94-3.01, 2 Ca 3.11
Rh 0.5288 0.5288 0.4265  4 Co 2.50-2.52

Its formation energy is 0.2163 eV per atom. As for the symmetry: Cm (8). The value obtained for the density of states at the Fermi level is 4.09 states/eV/cell. The crystal system is monoclinic.

# 2
Density functional theory data (PBE) for CaCoSb2Rh after structural relaxation.

Cell: 4.8841 4.8229 4.8841 Å, 90.00 90.00 90.00°
Last column: nearest neighbours and their distance in Å.
Fractional coordinates of all 5 atoms:
Sb 0.0000 0.0000 0.5000  2 Co 2.44
Sb 0.5000 0.0000 0.0000  2 Co 2.44
Ca 0.5000 0.5000 0.5000  8 Sb 3.43, 4 Rh 3.45
Rh 0.0000 0.5000 0.0000  2 Co 2.41
Co 0.0000 0.0000 0.0000  2 Rh 2.41, 4 Sb 2.44

As for the uncorrected formation energy: 35 kJ/mol of formula units. As for the symmetry: P4/mmm (123). The value obtained for the density of states at the Fermi level is 4.11 states/eV/cell. The crystal system is tetragonal.

# 3
Density functional theory data (PBE) for CaCo2SbRh after structural relaxation.

Cell: 4.6997 4.9348 4.6997 Å, 90.00 90.00 90.00°
Last column: nearest neighbours and their distance in Å.
Fractional coordinates of all 5 atoms:
Sb 0.0000 0.0000 0.0000  4 Co 2.35, 2 Rh 2.47
Ca 0.5000 0.5000 0.5000  4 Rh 3.32, 8 Co 3.41
Rh 0.0000 0.5000 0.0000  2 Sb 2.47
Co 0.0000 0.0000 0.5000  2 Sb 2.35
Co 0.5000 0.0000 0.0000  2 Sb 2.35

As for the uncorrected formation energy: 227 kJ/mol of formula units. As for the symmetry: P4/mmm (123). The value obtained for the density of states at the Fermi level is 6.49 states/eV/cell. The crystal system is tetragonal.

# 4
Density functional theory data (PBE) for CaCoRh2Se after structural relaxation.

Cell: 4.6309 4.5690 4.6309 Å, 90.00 90.00 90.00°
Last column: nearest neighbours and their distance in Å.
Fractional coordinates of all 5 atoms:
Co 0.0000 0.0000 0.0000  2 Se 2.28, 4 Rh 2.32
Ca 0.5000 0.5000 0.5000  8 Rh 3.25, 4 Se 3.27
Rh 0.0000 0.0000 0.5000  2 Co 2.32
Rh 0.5000 0.0000 0.0000  2 Co 2.32
Se 0.0000 0.5000 0.0000  2 Co 2.28

As for the uncorrected formation energy: 63 kJ/mol of formula units. As for the symmetry: P4/mmm (123). The value obtained for the density of states at the Fermi level is 4.56 states/eV/cell. The crystal system is tetragonal.

# 5
Density functional theory data (PBE) for SrCaCo2Rh after structural relaxation.

Cell: 4.8420 5.2447 4.8420 Å, 90.00 90.00 90.00°
Last column: nearest neighbours and their distance in Å.
Fractional coordinates of all 5 atoms:
Sr 0.0000 0.5000 0.0000  2 Rh 2.62
Ca 0.5000 0.5000 0.5000  4 Sr 3.42, 8 Co 3.57
Rh 0.0000 0.0000 0.0000  4 Co 2.42, 2 Sr 2.62
Co 0.0000 0.0000 0.5000  2 Rh 2.42
Co 0.5000 0.0000 0.0000  2 Rh 2.42

Its formation energy is 0.6395 eV per atom. As for the symmetry: P4/mmm (123). The value obtained for the density of states at the Fermi level is 5.41 states/eV/cell. The crystal system is tetragonal.

# 6
Density functional theory data (PBE) for CaTl2CoRh after structural relaxation.

Cell: 4.9814 4.7896 4.9814 Å, 90.00 90.00 90.00°
Last column: nearest neighbours and their distance in Å.
Fractional coordinates of all 5 atoms:
Co 0.0000 0.0000 0.0000  2 Rh 2.39, 4 Tl 2.49
Tl 0.0000 0.0000 0.5000  2 Co 2.49
Tl 0.5000 0.0000 0.0000  2 Co 2.49
Rh 0.0000 0.5000 0.0000  2 Co 2.39
Ca 0.5000 0.5000 0.5000  8 Tl 3.46, 4 Rh 3.52

Its formation energy is 0.2536 eV per atom. As for the symmetry: P4/mmm (123). The value obtained for the density of states at the Fermi level is 3.65 states/eV/cell. The crystal system is tetragonal.

# 7
Density functional theory data (PBE) for CaCoRu2 after structural relaxation.

Cell: 5.0505 5.0505 2.6394 Å, 90.00 90.00 113.97°
Last column: nearest neighbours and their distance in Å.
Fractional coordinates of all 4 atoms:
Ru 0.0000 0.0000 0.0000  4 Ru 2.64-2.75, 4 Co 2.85, 4 Ca 2.85
Ru 0.5000 0.5000 0.0000  4 Ru 2.64-2.75, 4 Ca 2.85, 4 Co 2.85
Ca 0.5000 0.0000 0.5000  2 Ca 2.64, 2 Co 2.75, 8 Ru 2.85
Co 0.0000 0.5000 0.5000  2 Co 2.64, 2 Ca 2.75, 8 Ru 2.85

Its formation energy is 0.5974 eV per atom. The value obtained for the offset from the most stable computed form is 254 meV per atom. As for the symmetry: Cmmm (65). The value obtained for the density of states at the Fermi level is 6.42 states/eV/cell. The crystal system is orthorhombic.

# 8
Density functional theory data (PBE) for CaCo2Ru after structural relaxation.

Cell: 3.0814 3.0843 6.7191 Å, 90.00 90.00 90.00°
Last column: nearest neighbours and their distance in Å.
Fractional coordinates of all 4 atoms:
Ru 0.5000 0.5000 0.2500  8 Co 2.51
Ca 0.5000 0.5000 0.7500  8 Co 3.04, 4 Ca 3.08, 2 Ru 3.36
Co 0.0000 0.0000 0.0644  1 Co 2.49, 4 Ru 2.51
Co 0.0000 0.0000 0.4356  1 Co 2.49, 4 Ru 2.51

Its formation energy is 0.3410 eV per atom. The value obtained for the offset from the most stable computed form is 149 meV per atom. As for the symmetry: P4/mmm (123). The value obtained for the density of states at the Fermi level is 5.21 states/eV/cell. The crystal system is tetragonal.

# 9
Density functional theory data (PBE) for CaCo2Ru2 after structural relaxation.

Cell: 4.0468 4.0468 5.7176 Å, 69.27 69.27 90.00°
Last column: nearest neighbours and their distance in Å.
Fractional coordinates of all 5 atoms:
Ru 0.7500 0.2500 0.5000  4 Co 2.43
Ru 0.2500 0.7500 0.5000  4 Co 2.43
Ca 0.0000 0.0000 0.0000  8 Co 3.08, 8 Ru 3.20
Co 0.3855 0.3855 0.2289  1 Co 2.27, 4 Ru 2.43
Co 0.6145 0.6145 0.7711  1 Co 2.27, 4 Ru 2.43

Its formation energy is 0.2411 eV per atom. The value obtained for the offset from the most stable computed form is 0 meV per atom. As for the symmetry: I4/mmm (139). The value obtained for the density of states at the Fermi level is 9.26 states/eV/cell. The crystal system is tetragonal.

# 10
Density functional theory data (PBE) for CaCoRu2 after structural relaxation.

Cell: 4.3956 4.3956 3.2147 Å, 90.00 90.00 90.00°
Last column: nearest neighbours and their distance in Å.
Fractional coordinates of all 4 atoms:
Ru 0.0000 0.0000 0.0000  4 Co 2.72, 4 Ca 2.72
Ru 0.5000 0.5000 0.0000  4 Co 2.72, 4 Ca 2.72
Ca 0.5000 0.0000 0.5000  8 Ru 2.72
Co 0.0000 0.5000 0.5000  8 Ru 2.72

Its formation energy is 0.6344 eV per atom. The value obtained for the offset from the most stable computed form is 291 meV per atom. As for the symmetry: P4/mmm (123). The value obtained for the density of states at the Fermi level is 5.36 states/eV/cell. The crystal system is tetragonal.

# 11
Density functional theory data (PBE) for CaCoRu2 after structural relaxation.

Cell: 9.1483 9.1483 9.1483 Å, 17.79 17.79 17.79°
Last column: nearest neighbours and their distance in Å.
Fractional coordinates of all 4 atoms:
Ru 0.0100 0.0100 0.0100  3 Co 2.57, 6 Ru 2.83
Ru 0.4900 0.4900 0.4900  3 Co 2.57, 6 Ru 2.83
Ca 0.2500 0.2500 0.2500  6 Ca 2.83, 6 Ru 3.00
Co 0.7500 0.7500 0.7500  6 Ru 2.57, 6 Co 2.83

Its formation energy is 0.5989 eV per atom. The value obtained for the offset from the most stable computed form is 255 meV per atom. As for the symmetry: R-3m (166). The value obtained for the density of states at the Fermi level is 5.29 states/eV/cell. The crystal system is trigonal.

# 12
Density functional theory data (PBE) for CaCo2Ru after structural relaxation.

Cell: 5.2760 5.2760 5.2760 Å, 146.59 128.02 63.21°
Last column: nearest neighbours and their distance in Å.
Fractional coordinates of all 4 atoms:
Ru 0.2500 0.7500 0.5000  4 Co 2.51, 4 Ca 2.76
Ca 0.7500 0.2500 0.5000  4 Ru 2.76, 8 Co 2.92-3.06, 2 Ca 3.03
Co 0.0276 0.0276 0.0000  2 Ru 2.51, 4 Co 2.81
Co 0.4724 0.4724 0.0000  2 Ru 2.51, 4 Co 2.81

Its formation energy is 0.5021 eV per atom. The value obtained for the offset from the most stable computed form is 310 meV per atom. As for the symmetry: Immm (71). The value obtained for the density of states at the Fermi level is 3.92 states/eV/cell. The crystal system is orthorhombic.

# 13
Density functional theory data (PBE) for CaCo2Ru after structural relaxation.

Cell: 4.9479 4.9479 4.9479 Å, 134.10 134.10 66.94°
Last column: nearest neighbours and their distance in Å.
Fractional coordinates of all 4 atoms:
Ru 0.5000 0.5000 0.0000  8 Co 2.73-2.83, 4 Ca 2.83
Ca 0.7500 0.2500 0.5000  8 Co 2.73-2.83, 4 Ru 2.83
Co 0.0000 0.0000 0.0000  4 Ru 2.73, 4 Co 2.83, 4 Ca 2.83
Co 0.2500 0.7500 0.5000  4 Ca 2.73, 4 Co 2.83, 4 Ru 2.83

Its formation energy is 0.5858 eV per atom. The value obtained for the offset from the most stable computed form is 394 meV per atom. As for the symmetry: I-4m2 (119). The value obtained for the density of states at the Fermi level is 5.71 states/eV/cell. The crystal system is tetragonal.

# 14
Density functional theory data (PBE) for CaCoRu2 after structural relaxation.

Cell: 4.2647 3.8362 3.8362 Å, 90.00 90.00 90.00°
Last column: nearest neighbours and their distance in Å.
Fractional coordinates of all 4 atoms:
Ru 0.0000 0.0000 0.0000  4 Ru 2.71, 4 Co 2.87, 4 Ca 2.87
Ru 0.0000 0.5000 0.5000  4 Ru 2.71, 4 Co 2.87, 4 Ca 2.87
Ca 0.5000 0.5000 0.0000  4 Co 2.71, 8 Ru 2.87
Co 0.5000 0.0000 0.5000  4 Ca 2.71, 8 Ru 2.87

Its formation energy is 0.6115 eV per atom. The value obtained for the offset from the most stable computed form is 268 meV per atom. As for the symmetry: P4/mmm (123). The value obtained for the density of states at the Fermi level is 7.26 states/eV/cell. The crystal system is tetragonal.

# 15
Density functional theory data (PBE) for CaCoRu2 after structural relaxation.

Cell: 3.0697 3.0715 7.0827 Å, 90.00 90.00 90.00°
Last column: nearest neighbours and their distance in Å.
Fractional coordinates of all 4 atoms:
Ru 0.0000 0.0000 0.9854  4 Co 2.49, 4 Ru 2.64
Ru 0.5000 0.5000 0.1968  4 Ru 2.64, 1 Co 2.72
Ca 0.0000 0.0000 0.5055  4 Ca 3.07, 4 Co 3.07, 5 Ru 3.08-3.40
Co 0.5000 0.5000 0.8124  5 Ru 2.49-2.72

Its formation energy is 0.3523 eV per atom. The value obtained for the offset from the most stable computed form is 9 meV per atom. As for the symmetry: P4mm (99). The value obtained for the density of states at the Fermi level is 4.59 states/eV/cell. The crystal system is tetragonal.